This record from Alexandria describes an optimized crystal structure of Tc4Ag. The functional is GGA-PBE.

Cell lengths 4.7116, 4.7116, 4.7116 Å; angles 90.00, 90.00, 90.00 degrees
With the nearest neighbours (Å) after each atom.
Space group Pm-3m (No. 221)
Symmetry-distinct sites (fractional):
Tc (0.0000, 0.0000, 0.0000) x1  12 Tc 3.33
Tc (0.0000, 0.5000, 0.5000) x3  2 Ag 2.36
Ag (0.5000, 0.5000, 0.5000) x1  6 Tc 2.36

## Properties
**Density of states at the Fermi level**: 9.5 states/eV/cell
**DFT total energy**: -6.056 eV per atom
**Size of the total moment**: 0.283 μB/atom
**Distance to the lowest polymorph of the same formula**: 12.44 eV per formula unit
**Formation energy from the elements**: 2.807 eV/atom
**Calculated density**: 7.936 g/cm3